{"formula": "ScTe2W", "functional": "PBEsol", "state": "relaxed", "space_group": "F-43m (216)", "e_above_lowest_polymorph_ev_per_fu": 2.37, "formation_energy_uncorrected_ev_per_atom": 0.513, "dft_energy_ev_per_cell": -25.4, "dos_ef_per_ev_atom": 0.7918, "lattice": [[-0.3203, 0.4134, 4.8722], [-1.9780, -3.6224, 2.6415], [2.8397, -2.7611, 2.8851]], "species": ["Te", "Sc", "Te", "W"], "fractional_positions": [[0.0000, 0.0000, 0.0000], [0.5000, 0.5000, 0.5000], [0.2500, 0.2500, 0.2500], [0.7500, 0.7500, 0.7500]]}

{"formula": "Sc2TeW", "functional": "PBEsol", "state": "relaxed", "space_group": "Cm (8)", "formation_energy_uncorrected_ev_per_atom": -0.062, "dft_energy_ev_per_cell": -30.8, "dos_ef_per_ev_atom": 0.8256, "lattice": [[3.3925, 0.0000, 0.0000], [0.0000, 4.8212, 0.0181], [-1.6963, -1.4215, 4.7927]], "species": ["Sc", "Te", "W", "Sc"], "fractional_positions": [[0.9874, 0.9912, 0.9748], [0.5153, 0.5199, 0.0307], [0.2428, 0.7328, 0.4855], [0.7545, 0.2561, 0.5090]]}

{"formula": "ScTeW", "functional": "PBEsol", "state": "relaxed", "space_group": "F-43m (216)", "formation_energy_uncorrected_ev_per_atom": 0.911, "dft_energy_ev_per_cell": -21.2, "dos_ef_per_ev_atom": 1.7572, "lattice": [[-2.8979, 1.0253, 3.3549], [-1.9120, -3.3237, 2.4499], [1.2275, -0.6242, 4.3368]], "species": ["W", "Sc", "Te"], "fractional_positions": [[0.5000, 0.5000, 0.5000], [0.2500, 0.2500, 0.2500], [0.0000, 0.0000, 0.0000]]}

{"formula": "ScTe2W", "functional": "PBEsol", "state": "relaxed", "space_group": "Pmm2 (25)", "e_above_lowest_polymorph_ev_per_fu": 0.00, "formation_energy_uncorrected_ev_per_atom": -0.080, "dft_energy_ev_per_cell": -27.8, "dos_ef_per_ev_atom": 0.8923, "lattice": [[3.4872, 0.0266, 0.0000], [-0.0355, 4.6103, 0.0000], [0.0000, 0.0000, 5.2108]], "species": ["Te", "W", "Sc", "Te"], "fractional_positions": [[0.6250, 0.2799, 0.5000], [0.6252, 0.4943, 0.0000], [0.1249, 0.7555, 0.5000], [0.1250, 0.9702, 0.0000]]}

> Number 1 is which compound?

ScTe2W